No. 1
The following is a GGA-PBE calculation of a relaxed Tb2NdTl crystal, from Alexandria.

Unit cell a=4.936 b=4.936 c=4.867 alpha=90.00 beta=90.00 gamma=90.00
Space group P4/mmm (No. 123)
Asymmetric unit:
Tb: 0.000 0.500 0.000 x2
Nd: 0.000 0.000 0.500 x1
Tl: 0.500 0.500 0.500 x1

As for the formation energy: -189 meV per atom. For the density of states at the Fermi level, the calculation gives 6.127 states/eV per cell.

No. 2
The following is a GGA-PBE calculation of a relaxed K6Bi crystal, from Alexandria.

Unit cell a=10.188 b=10.188 c=10.188 alpha=90.00 beta=90.00 gamma=90.00
Space group Im-3m (No. 229)
Asymmetric unit:
K: 0.000 0.250 0.500 x12
Bi: 0.000 0.000 0.000 x2

As for the formation energy: 560 meV per atom. For the density of states at the Fermi level, the calculation gives 10.054 states/eV per cell.

No. 3
The following is a GGA-PBE calculation of a relaxed Hg2SbSe crystal, from Alexandria.

Unit cell a=3.821 b=4.309 c=13.808 alpha=90.00 beta=90.00 gamma=90.00
Space group Immm (No. 71)
Asymmetric unit:
Hg: 0.000 0.000 0.202 x4
Sb: 0.000 0.500 0.500 x2
Se: 0.000 0.500 0.000 x2

For the density of states at the Fermi level, the calculation gives 4.131 states/eV per cell. The calculation puts the energy relative to the elements, uncorrected at 0.252 eV per formula unit.

No. 4
The following is a GGA-PBE calculation of a relaxed Sr2BeW crystal, from Alexandria.

Unit cell a=10.713 b=3.116 c=5.781 alpha=90.00 beta=100.30 gamma=90.00
Space group C2/m (No. 12)
Asymmetric unit:
Sr: 0.237 0.000 0.243 x4
Be: 0.000 0.500 0.000 x2
W: 0.000 0.000 0.500 x2

As for the formation energy: 1462 meV per atom. For the density of states at the Fermi level, the calculation gives 7.010 states/eV per cell.

No. 5
The following is a GGA-PBE calculation of a relaxed Er3ThIn crystal, from Alexandria.

Unit cell a=9.509 b=5.490 c=11.544 alpha=90.00 beta=91.75 gamma=90.00
Space group P2_1/c (No. 14)
Asymmetric unit:
Er: 0.034 0.002 0.355 x4
Er: 0.262 0.501 0.356 x4
Er: 0.397 0.001 0.236 x4
Th: 0.334 0.501 0.046 x4
In: 0.114 0.002 0.092 x4

As for the formation energy: -56 meV per atom. For the density of states at the Fermi level, the calculation gives 25.310 states/eV per cell.

No. 6
The following is a GGA-PBE calculation of a relaxed SrY2Ir crystal, from Alexandria.

Unit cell a=6.489 b=10.568 c=3.418 alpha=90.00 beta=116.15 gamma=90.00
Space group C2/m (No. 12)
Asymmetric unit:
Sr: 0.000 0.000 0.000 x2
Y: 0.250 0.250 0.500 x4
Ir: 0.000 0.500 0.000 x2

As for the formation energy: 258 meV per atom. For the density of states at the Fermi level, the calculation gives 8.215 states/eV per cell.

No. 7
The following is a GGA-PBE calculation of a relaxed LaTb2Y3Ho6 crystal, from Alexandria.

Unit cell a=6.172 b=10.681 c=11.802 alpha=90.00 beta=100.00 gamma=90.00
Space group C2/m (No. 12)
Asymmetric unit:
La: 0.000 0.000 0.000 x2
Tb: 0.000 0.333 0.000 x4
Y: 0.000 0.167 0.500 x4
Y: 0.000 0.500 0.500 x2
Ho: 0.248 0.333 0.748 x8
Ho: 0.250 0.000 0.748 x4

As for the formation energy: 23 meV per atom. For the density of states at the Fermi level, the calculation gives 33.242 states/eV per cell.

No. 8
The following is a GGA-PBE calculation of a relaxed Y3Pu2UN6 crystal, from Alexandria.

Unit cell a=6.023 b=10.429 c=6.006 alpha=90.00 beta=109.55 gamma=90.00
Space group C2/m (No. 12)
Asymmetric unit:
Y: 0.000 0.000 0.000 x2
Y: 0.000 0.332 0.000 x4
Pu: 0.000 0.166 0.500 x4
U: 0.000 0.500 0.500 x2
N: 0.239 0.340 0.739 x8
N: 0.240 0.500 0.264 x4

For the density of states at the Fermi level, the calculation gives 28.231 states/eV per cell. The calculation puts the energy relative to the elements, uncorrected at -17.933 eV per formula unit.

No. 9
The following is a GGA-PBE calculation of a relaxed Fe2MoBr crystal, from Alexandria.

Unit cell a=3.006 b=3.006 c=6.771 alpha=90.00 beta=90.00 gamma=90.00
Space group P4mm (No. 99)
Asymmetric unit:
Fe: 0.000 0.000 0.000 x1
Fe: 0.500 0.500 0.199 x1
Mo: 0.000 0.000 0.417 x1
Br: 0.500 0.500 0.698 x1

For the density of states at the Fermi level, the calculation gives 3.182 states/eV per cell. The calculation puts the energy relative to the elements, uncorrected at 1.845 eV per formula unit.

No. 10
The following is a GGA-PBE calculation of a relaxed NaNpW2N6 crystal, from Alexandria.

Unit cell a=10.406 b=10.303 c=5.700 alpha=90.00 beta=102.83 gamma=90.00
Space group C2/c (No. 15)
Asymmetric unit:
Na: 0.000 0.083 0.250 x4
Np: 0.000 0.281 0.750 x4
W: 0.197 0.412 0.289 x8
N: 0.108 0.278 0.103 x8
N: 0.128 0.118 0.669 x8
N: 0.151 0.433 0.600 x8

For the density of states at the Fermi level, the calculation gives 23.665 states/eV per cell. The calculation puts the energy relative to the elements, uncorrected at -4.961 eV per formula unit.

No. 11
The following is a GGA-PBE calculation of a relaxed Ce2Al4Pt3Rh crystal, from Alexandria.

Unit cell a=4.250 b=4.250 c=10.407 alpha=90.00 beta=90.00 gamma=90.00
Space group P-4m2 (No. 115)
Asymmetric unit:
Ce: 0.000 0.500 0.249 x2
Al: 0.000 0.000 0.500 x1
Al: 0.000 0.500 0.875 x2
Al: 0.500 0.500 0.500 x1
Pt: 0.000 0.000 0.000 x1
Pt: 0.000 0.500 0.635 x2
Rh: 0.500 0.500 0.000 x1

As for the formation energy: -1056 meV per atom. For the density of states at the Fermi level, the calculation gives 11.578 states/eV per cell.

No. 12
The following is a GGA-PBE calculation of a relaxed HfZn4Cu crystal, from Alexandria.

Unit cell a=7.193 b=7.193 c=7.193 alpha=90.00 beta=90.00 gamma=90.00
Space group F-43m (No. 216)
Asymmetric unit:
Hf: 0.000 0.000 0.000 x4
Zn: 0.125 0.125 0.375 x16
Cu: 0.250 0.250 0.750 x4

As for the formation energy: 38 meV per atom. For the density of states at the Fermi level, the calculation gives 17.387 states/eV per cell.

Total magnetization in μB/cell, matching the order above: 0.49 0.00 0.00 0.74 0.00 0.00 0.00 22.07 4.70 8.00 1.29 0.00